[1]
The following is a DFT calculation (PBE) of LiNd2PaN4 after structural relaxation.

Output
For the formation energy without anion corrections, the calculation gives -1.1620 eV/atom. As for the total energy: -0.29190 Ha/atom. The space group is No. 63.

Cell lengths 3.4339, 6.0202, 11.9349 Å; angles 90.00, 90.00, 106.57 degrees
Closest atoms and distances in Å follow each position.
Element x y z (fractional)
Li: 0.8448 0.6896 0.7500  2 N 2.01
Li: 0.1552 0.3104 0.2500  2 N 2.01
Nd: 0.3700 0.7400 0.5558  6 N 2.38-2.65
Nd: 0.6300 0.2600 0.0558  6 N 2.38-2.65
Nd: 0.6300 0.2600 0.4442  6 N 2.38-2.65
Nd: 0.3700 0.7400 0.9442  6 N 2.38-2.65
Pa: 0.1147 0.2295 0.7500  6 N 2.34-2.48
Pa: 0.8853 0.7705 0.2500  6 N 2.34-2.48
N: 0.2841 0.5681 0.1361  1 Li 2.01
N: 0.7159 0.4319 0.6361  1 Li 2.01
N: 0.7159 0.4319 0.8639  1 Li 2.01
N: 0.2841 0.5681 0.3639  1 Li 2.01
N: 0.0000 0.0000 0.5000  4 Nd 2.38
N: 0.0000 0.0000 0.0000  4 Nd 2.38
N: 0.4768 0.9536 0.7500  2 Li 2.30, 2 Pa 2.34
N: 0.5232 0.0464 0.2500  2 Li 2.30, 2 Pa 2.34

---

[2]
The following is a DFT calculation (PBE) of LiNd3Pa2N6 after structural relaxation.

Output
For the formation energy without anion corrections, the calculation gives -1.3861 eV/atom. As for the total energy: -0.31174 Ha/atom. The space group is No. 12.

Cell lengths 6.1248, 6.1248, 6.2071 Å; angles 99.39, 99.39, 119.97 degrees
Closest atoms and distances in Å follow each position.
Element x y z (fractional)
Li: 0.0000 0.0000 0.0000  6 N 2.58-2.61
Nd: 0.1613 0.8387 0.5000  6 N 2.48-2.67
Nd: 0.8387 0.1613 0.5000  6 N 2.48-2.67
Nd: 0.5000 0.5000 0.5000  6 N 2.46-2.67
Pa: 0.3328 0.6672 0.0000  6 N 2.35-2.37
Pa: 0.6672 0.3328 0.0000  6 N 2.35-2.37
N: 0.9237 0.5587 0.7717  2 Pa 2.36-2.37, 1 Nd 2.48, 1 Li 2.61
N: 0.7094 0.7094 0.2221  2 Pa 2.35, 1 Nd 2.46, 1 Li 2.58
N: 0.0763 0.4413 0.2283  2 Pa 2.36-2.37, 1 Nd 2.48, 1 Li 2.61
N: 0.5587 0.9237 0.7717  2 Pa 2.36-2.37, 1 Nd 2.48, 1 Li 2.61
N: 0.2906 0.2906 0.7779  2 Pa 2.35, 1 Nd 2.46, 1 Li 2.58
N: 0.4413 0.0763 0.2283  2 Pa 2.36-2.37, 1 Nd 2.48, 1 Li 2.61

---

[3]
The following is a DFT calculation (PBE) of Li2Nd2PaN4 after structural relaxation.

Output
For the formation energy without anion corrections, the calculation gives -1.0237 eV/atom. As for the total energy: -0.26694 Ha/atom. The space group is No. 12.

Cell lengths 3.4542, 6.4701, 6.0154 Å; angles 108.06, 90.00, 105.48 degrees
Closest atoms and distances in Å follow each position.
Element x y z (fractional)
Li: 0.3125 0.6249 0.9958  4 N 2.01-2.17
Li: 0.6875 0.3751 0.0042  4 N 2.01-2.17
Nd: 0.8590 0.7179 0.4313  5 N 2.50-2.72, 1 Li 2.76
Nd: 0.1410 0.2821 0.5687  5 N 2.50-2.72, 1 Li 2.76
Pa: 0.0000 0.0000 0.0000  6 N 2.32-2.44
N: 0.7967 0.5935 0.7877  3 Li 2.10-2.17
N: 0.2033 0.4065 0.2123  3 Li 2.10-2.17
N: 0.4692 0.9384 0.2300  1 Li 2.01
N: 0.5308 0.0616 0.7700  1 Li 2.01

---

[4]
The following is a DFT calculation (PBE) of Li2Nd2PuN4 after structural relaxation.

Output
For the formation energy without anion corrections, the calculation gives -0.8929 eV/atom. As for the total energy: -0.28188 Ha/atom. The space group is No. 12.

Cell lengths 3.4304, 6.5232, 5.9466 Å; angles 108.01, 90.00, 105.24 degrees
Closest atoms and distances in Å follow each position.
Element x y z (fractional)
Li: 0.3160 0.6321 0.9897  4 N 2.02-2.19
Li: 0.6840 0.3679 0.0103  4 N 2.02-2.19
Nd: 0.8579 0.7159 0.4299  5 N 2.48-2.75, 1 Li 2.74
Nd: 0.1421 0.2841 0.5701  5 N 2.48-2.75, 1 Li 2.74
Pu: 0.0000 0.0000 0.0000  4 N 2.28
N: 0.7853 0.5706 0.7709  3 Li 2.11-2.19
N: 0.2147 0.4294 0.2291  3 Li 2.11-2.19
N: 0.4722 0.9444 0.2279  1 Li 2.02
N: 0.5278 0.0556 0.7721  1 Li 2.02

---

[5]
The following is a DFT calculation (PBE) of LiNdReN3 after structural relaxation.

Output
For the formation energy without anion corrections, the calculation gives -0.5466 eV/atom. As for the total energy: -0.29023 Ha/atom. The space group is No. 63.

Cell lengths 3.3937, 6.0807, 8.0773 Å; angles 90.00, 90.00, 106.20 degrees
Closest atoms and distances in Å follow each position.
Element x y z (fractional)
Li: 0.0000 0.0000 0.5000  2 N 2.08
Li: 0.0000 0.0000 0.0000  2 N 2.08
Nd: 0.7043 0.4085 0.7500  4 N 2.53-2.64
Nd: 0.2957 0.5915 0.2500  4 N 2.53-2.64
Re: 0.4446 0.8892 0.7500  2 N 1.81
Re: 0.5554 0.1108 0.2500  2 N 1.81
N: 0.6429 0.2857 0.4350  1 Re 1.81
N: 0.3571 0.7143 0.5650  1 Re 1.81
N: 0.3571 0.7143 0.9350  1 Re 1.81
N: 0.6429 0.2857 0.0650  1 Re 1.81
N: 0.0432 0.0863 0.7500  2 Re 2.05, 2 Li 2.08
N: 0.9568 0.9137 0.2500  2 Re 2.05, 2 Li 2.08

---

[6]
The following is a DFT calculation (PBE) of Li2NdReN4 after structural relaxation.

Output
For the formation energy without anion corrections, the calculation gives -0.7491 eV/atom. As for the total energy: -0.27717 Ha/atom. The space group is No. 31.

Cell lengths 5.1835, 5.2198, 7.6968 Å; angles 90.00, 90.00, 90.00 degrees
Closest atoms and distances in Å follow each position.
Element x y z (fractional)
Li: 0.4899 0.2868 0.2530  4 N 2.03-2.09
Li: 0.4899 0.2868 0.7470  4 N 2.03-2.09
Li: 0.9899 0.7132 0.7530  4 N 2.03-2.09
Li: 0.9899 0.7132 0.2470  4 N 2.03-2.09
Nd: 0.9889 0.2839 0.5000  4 N 2.44-2.66
Nd: 0.4889 0.7161 0.0000  4 N 2.44-2.66
Re: 0.5011 0.8043 0.5000  4 N 1.83-1.84
Re: 0.0011 0.1957 0.0000  4 N 1.83-1.84
N: 0.3544 0.2251 0.0000  1 Re 1.84
N: 0.8544 0.7749 0.5000  1 Re 1.84
N: 0.4395 0.1506 0.5000  1 Re 1.84, 2 Li 2.05
N: 0.9395 0.8494 0.0000  1 Re 1.84, 2 Li 2.05
N: 0.3681 0.6584 0.6967  1 Re 1.83, 1 Li 2.03
N: 0.8681 0.3416 0.1967  1 Re 1.83, 1 Li 2.03
N: 0.8681 0.3416 0.8033  1 Re 1.83, 1 Li 2.03
N: 0.3681 0.6584 0.3033  1 Re 1.83, 1 Li 2.03

---

[7]
The following is a DFT calculation (PBE) of Li2NdSN after structural relaxation.

Output
For the formation energy without anion corrections, the calculation gives -1.1321 eV/atom. As for the total energy: -0.19631 Ha/atom. The space group is No. 108.

Cell lengths 5.7985, 5.7985, 6.3185 Å; angles 117.31, 117.31, 90.00 degrees
Closest atoms and distances in Å follow each position.
Element x y z (fractional)
Li: 0.3193 0.8193 0.9995  2 N 2.13
Li: 0.8193 0.6802 0.9995  2 N 2.13
Li: 0.6802 0.1802 0.9995  2 N 2.13
Li: 0.1802 0.3193 0.9995  2 N 2.13
Nd: 0.7499 0.7499 0.4998  2 N 2.40-2.41
Nd: 0.2499 0.2499 0.4998  2 N 2.40-2.41
S: 0.7507 0.2507 0.5014  4 Li 2.82-2.83, 4 Nd 2.90
S: 0.2507 0.7507 0.5014  4 Li 2.82-2.83, 4 Nd 2.90
N: 0.0002 0.0002 0.0004  4 Li 2.13
N: 0.5002 0.5002 0.0004  4 Li 2.13

---

[8]
The following is a DFT calculation (PBE) of LiNd2SbN after structural relaxation.

Output
For the formation energy without anion corrections, the calculation gives -1.0049 eV/atom. As for the total energy: -0.21257 Ha/atom. The space group is No. 123.

Cell lengths 4.3624, 5.0132, 5.0132 Å; angles 90.00, 90.00, 90.00 degrees
Closest atoms and distances in Å follow each position.
Element x y z (fractional)
Li: 0.5000 0.0000 0.0000  2 N 2.18
Nd: 0.0000 0.0000 0.5000  2 N 2.51
Nd: 0.0000 0.5000 0.0000  2 N 2.51
Sb: 0.5000 0.5000 0.5000  8 Nd 3.32, 4 Li 3.54
N: 0.0000 0.0000 0.0000  2 Li 2.18

---

[9]
The following is a DFT calculation (PBE) of LiNdTaN3 after structural relaxation.

Output
For the formation energy without anion corrections, the calculation gives -1.0471 eV/atom. As for the total energy: -0.30498 Ha/atom. The space group is No. 11.

Cell lengths 3.2358, 6.8659, 6.9393 Å; angles 105.07, 90.00, 90.00 degrees
Closest atoms and distances in Å follow each position.
Element x y z (fractional)
Li: 0.2500 0.0780 0.5885  4 N 1.87-1.98
Li: 0.7500 0.9220 0.4115  4 N 1.87-1.98
Nd: 0.7500 0.7873 0.7586  5 N 2.48-2.56
Nd: 0.2500 0.2127 0.2414  5 N 2.48-2.56
Ta: 0.2500 0.6766 0.1758  5 N 1.99-2.21
Ta: 0.7500 0.3234 0.8242  5 N 1.99-2.21
N: 0.2500 0.7828 0.4707  3 Li 1.98, 1 Ta 1.99
N: 0.7500 0.8615 0.1324  1 Li 1.87
N: 0.7500 0.4531 0.1607  3 Ta 2.21-2.27, 2 Nd 2.48
N: 0.7500 0.2172 0.5293  3 Li 1.98, 1 Ta 1.99
N: 0.2500 0.5469 0.8393  3 Ta 2.21-2.27, 2 Nd 2.48
N: 0.2500 0.1385 0.8676  1 Li 1.87

---

[10]
The following is a DFT calculation (PBE) of LiNdTa2N4 after structural relaxation.

Output
For the formation energy without anion corrections, the calculation gives -1.1332 eV/atom. As for the total energy: -0.33421 Ha/atom. The space group is No. 63.

Cell lengths 3.2622, 5.4960, 10.6663 Å; angles 90.00, 90.00, 107.26 degrees
Closest atoms and distances in Å follow each position.
Element x y z (fractional)
Li: 0.8376 0.6752 0.7500  4 N 1.87-1.90
Li: 0.1624 0.3248 0.2500  4 N 1.87-1.90
Nd: 0.1108 0.2216 0.7500  6 N 2.50-2.58
Nd: 0.8892 0.7784 0.2500  6 N 2.50-2.58
Ta: 0.3751 0.7502 0.5539  6 N 2.07-2.27
Ta: 0.6249 0.2498 0.0539  6 N 2.07-2.27
Ta: 0.6249 0.2498 0.4461  6 N 2.07-2.27
Ta: 0.3751 0.7502 0.9461  6 N 2.07-2.27
N: 0.2655 0.5310 0.1073  1 Li 1.87, 1 Ta 2.07
N: 0.7345 0.4690 0.6073  1 Li 1.87, 1 Ta 2.07
N: 0.7345 0.4690 0.8927  1 Li 1.87, 1 Ta 2.07
N: 0.2655 0.5310 0.3927  1 Li 1.87, 1 Ta 2.07
N: 0.0000 0.0000 0.5000  4 Ta 2.17
N: 0.0000 0.0000 0.0000  4 Ta 2.17
N: 0.4308 0.8617 0.7500  2 Li 1.90
N: 0.5692 0.1383 0.2500  2 Li 1.90

---

[11]
The following is a DFT calculation (PBE) of LiNdTa4N8 after structural relaxation.

Output
For the formation energy without anion corrections, the calculation gives -0.9787 eV/atom. As for the total energy: -0.35278 Ha/atom. The space group is No. 160.

Cell lengths 6.3664, 6.3664, 6.4203 Å; angles 60.28, 60.28, 60.00 degrees
Closest atoms and distances in Å follow each position.
Element x y z (fractional)
Li: 0.0014 0.0014 0.9959  6 N 2.18-2.39
Nd: 0.3795 0.3795 0.8616  4 N 2.25-2.29
Ta: 0.6220 0.6220 0.1340  4 N 1.96-2.14
Ta: 0.0029 0.4842 0.5100  3 N 1.98-2.10
Ta: 0.4842 0.0029 0.5100  3 N 1.98-2.10
Ta: 0.0029 0.0029 0.5100  3 N 1.98-2.10
N: 0.2400 0.8124 0.7076  2 Ta 1.98, 1 Li 2.18
N: 0.8124 0.2400 0.7076  2 Ta 1.98, 1 Li 2.18
N: 0.2400 0.2400 0.7076  2 Ta 1.98, 1 Li 2.18
N: 0.2346 0.2346 0.2962  3 Ta 2.10, 1 Nd 2.29
N: 0.7379 0.2470 0.2772  1 Ta 1.96
N: 0.2470 0.7379 0.2772  1 Ta 1.96
N: 0.7379 0.7379 0.2772  1 Ta 1.96
N: 0.7574 0.7574 0.7279  4 Ta 2.14-2.22

---

[12]
The following is a DFT calculation (PBE) of LiNd2Tc2N6 after structural relaxation.

Output
For the formation energy without anion corrections, the calculation gives -0.3461 eV/atom. As for the total energy: -0.28712 Ha/atom. The space group is No. 166.

Cell lengths 5.5749, 5.5749, 6.8267 Å; angles 65.90, 65.90, 60.00 degrees
Closest atoms and distances in Å follow each position.
Element x y z (fractional)
Li: 0.0000 0.0000 0.0000  6 N 2.35
Nd: 0.7918 0.7918 0.6247  9 N 2.53-2.83
Nd: 0.2082 0.2082 0.3753  9 N 2.53-2.83
Tc: 0.3970 0.3970 0.8090  3 N 1.77
Tc: 0.6030 0.6030 0.1910  3 N 1.77
N: 0.7411 0.7411 0.2934  1 Tc 1.77
N: 0.2245 0.7411 0.2934  1 Tc 1.77
N: 0.7411 0.2245 0.2934  1 Tc 1.77
N: 0.2589 0.7755 0.7066  1 Tc 1.77
N: 0.7755 0.2589 0.7066  1 Tc 1.77
N: 0.2589 0.2589 0.7066  1 Tc 1.77